RbMgNbF6 | PBE-GGA | optimized geometry

V ... 282.3 Å³/cell
Electronic total energy ... -101.32 eV/cell
Formation energy from raw total energies ... -26.80 eV/f.u.

a b c (Å): 7.598 6.768 7.484
angles (deg): 116.88 120.50 90.00
Fractional coordinates of all 18 atoms:
1 Rb 0.884 0.634 0.768
2 Rb 0.116 0.366 0.232
3 Mg 0.500 0.000 0.500
4 Mg 0.000 0.000 0.500
5 Nb 0.500 0.500 0.000
6 Nb 0.500 0.000 0.000
7 F 0.378 0.628 0.757
8 F 0.796 0.046 0.592
9 F 0.828 0.074 0.239
10 F 0.411 0.665 0.239
11 F 0.411 0.074 0.239
12 F 0.828 0.665 0.239
13 F 0.622 0.372 0.243
14 F 0.204 0.954 0.408
15 F 0.172 0.926 0.761
16 F 0.589 0.335 0.761
17 F 0.589 0.926 0.761
18 F 0.172 0.335 0.761

MgNb2TcF | PBE-GGA | optimized geometry

V ... 119.7 Å³/cell
Electronic total energy ... -30.42 eV/cell
Formation energy from raw total energies ... 3.55 eV/f.u.

a b c (Å): 4.741 5.325 4.741
angles (deg): 90.00 90.00 90.00
Fractional coordinates of all 5 atoms:
1 Mg 0.000 0.500 0.000
2 Nb 0.000 0.000 0.500
3 Nb 0.500 0.000 0.000
4 Tc 0.000 0.000 0.000
5 F 0.500 0.500 0.500

Mg3NbTl2F12 | PBE-GGA | optimized geometry

V ... 294.1 Å³/cell
Electronic total energy ... -95.65 eV/cell
Formation energy from raw total energies ... -53.60 eV/f.u.

a b c (Å): 7.552 7.552 7.552
angles (deg): 58.49 58.49 58.49
Fractional coordinates of all 18 atoms:
1 Mg 0.500 0.000 0.000
2 Mg 0.000 0.500 0.000
3 Mg 0.000 0.000 0.500
4 Nb 0.000 0.000 0.000
5 Tl 0.591 0.591 0.591
6 Tl 0.409 0.409 0.409
7 F 0.314 0.314 0.921
8 F 0.922 0.922 0.324
9 F 0.324 0.922 0.922
10 F 0.921 0.314 0.314
11 F 0.922 0.324 0.922
12 F 0.314 0.921 0.314
13 F 0.686 0.686 0.079
14 F 0.078 0.078 0.676
15 F 0.676 0.078 0.078
16 F 0.079 0.686 0.686
17 F 0.078 0.676 0.078
18 F 0.686 0.079 0.686

In order of appearance, density of states at the Fermi level = 7.12 4.41 1.55 states/eV per cell.